# PrNd2Sm2Dy2, relaxed, DFT PBE
data_PrNd2Sm2Dy2
_chemical_formula_sum 'Pr2 Nd4 Sm4 Dy4'
_cell_length_a 11.468
_cell_length_b 5.132
_cell_length_c 8.136
_cell_angle_alpha 90.00
_cell_angle_beta 98.08
_cell_angle_gamma 90.00
_space_group_name_H-M_alt 'C 1 2/m 1'
_space_group_IT_number 12
_space_group_name_Hall '-C 2y'
loop_
_atom_site_label
_atom_site_fract_x
_atom_site_fract_y
_atom_site_fract_z
Pr1 0.000 0.000 0.000
Nd1 0.143 0.000 0.429
Sm1 0.072 0.500 0.716
Dy1 0.215 0.500 0.142
# M_tot (μB/cell): 0.0
# Energy of formation from the pure elements (eV per atom): 0.02
# V (Å³/atom): 33.865

# PrNd3Ga2, relaxed, DFT PBE
data_PrNd3Ga2
_chemical_formula_sum 'Pr4 Nd12 Ga8'
_cell_length_a 17.867
_cell_length_b 4.662
_cell_length_c 9.222
_cell_angle_alpha 90.00
_cell_angle_beta 113.20
_cell_angle_gamma 90.00
_space_group_name_H-M_alt 'C 1 2/m 1'
_space_group_IT_number 12
_space_group_name_Hall '-C 2y'
loop_
_atom_site_label
_atom_site_fract_x
_atom_site_fract_y
_atom_site_fract_z
Pr1 0.118 0.000 0.144
Nd1 0.048 0.000 0.689
Nd2 0.149 0.500 0.476
Nd3 0.180 0.500 0.933
Ga1 0.001 0.500 0.142
Ga2 0.230 0.000 0.709
# M_tot (μB/cell): 0.0
# Energy of formation from the pure elements (eV per atom): -0.34
# Relative energy among the computed polymorphs (meV per atom): 47
# V (Å³/atom): 29.414

# Y2Pa3Se8, relaxed, DFT PBE
data_Y2Pa3Se8
_chemical_formula_sum 'Y4 Pa6 Se16'
_cell_length_a 14.725
_cell_length_b 8.110
_cell_length_c 6.772
_cell_angle_alpha 90.00
_cell_angle_beta 107.06
_cell_angle_gamma 90.00
_space_group_name_H-M_alt 'C 1 2/m 1'
_space_group_IT_number 12
_space_group_name_Hall '-C 2y'
loop_
_atom_site_label
_atom_site_fract_x
_atom_site_fract_y
_atom_site_fract_z
Y1 0.245 0.000 0.170
Pa1 0.000 0.258 0.500
Pa2 0.000 0.500 0.000
Se1 0.108 0.000 0.396
Se2 0.126 0.256 0.916
Se3 0.130 0.500 0.417
# M_tot (μB/cell): 9.7
# Raw formation energy (eV per formula unit): -18.78
# Relative energy among the computed polymorphs (meV per atom): 52
# V (Å³/atom): 29.733

Asked for total energy across the records above, the calculation gives -4.693; -4.529; -6.775 eV/atom in order.
Asked for DOS(E_F) across the records above, the calculation gives 19.60; 23.94; 24.27 states/eV/cell in order.